(1)
# Pr2YHfAs4

Pr2YHfAs4 after structural relaxation (GGA-PBE, Alexandria).

Structure (extended XYZ):
```
8
Lattice="7.146 0.000 0.000 0.000 4.123 0.000 -2.360 0.000 6.767" Properties=species:S:1:pos:R:3 pbc="T T T"
Pr 0.000 0.000 0.000
Pr 3.573 2.061 0.000
Y -1.180 2.061 3.383
Hf 2.393 0.000 3.383
As 0.088 0.000 4.947
As 1.262 2.061 1.859
As 3.523 2.061 4.907
As 4.698 0.000 1.819
```

Computed properties:
The space group is No. 10. The value obtained for the formation energy is -1.38 eV per atom. The uncorrected energy is -6.9503 eV per atom. Its size of the total moment is 0.00 μB per formula unit. As for the crystal system: monoclinic.


(2)
# Hf8AsPt2

Hf8AsPt2 after structural relaxation (GGA-PBE, Alexandria).

Structure (extended XYZ):
```
11
Lattice="3.882 -6.356 0.000 3.882 6.356 0.000 -2.520 0.000 4.710" Properties=species:S:1:pos:R:3 pbc="T T T"
Hf 0.236 1.471 2.672
Hf 3.882 3.521 0.000
Hf 0.236 -1.471 2.672
Hf 2.579 0.000 0.794
Hf 2.664 0.000 3.916
Hf 5.007 1.471 2.038
Hf 3.882 -3.521 0.000
Hf 5.007 -1.471 2.038
As 0.000 0.000 0.000
Pt 2.622 2.570 2.355
Pt 2.622 -2.570 2.355
```

Computed properties:
The space group is No. 12. The value obtained for the formation energy is -0.36 eV per atom. The uncorrected energy is -9.1233 eV per atom. Its size of the total moment is 0.00 μB per formula unit. As for the crystal system: monoclinic.


(3)
# Hf2AsPt2

Hf2AsPt2 after structural relaxation (GGA-PBE, Alexandria).

Structure (extended XYZ):
```
10
Lattice="7.446 0.000 0.000 0.000 7.446 0.000 0.000 0.000 3.427" Properties=species:S:1:pos:R:3 pbc="T T T"
Hf 1.238 2.485 0.000
Hf 2.485 6.208 0.000
Hf 4.962 1.238 0.000
Hf 6.208 4.962 0.000
As 0.000 0.000 1.713
As 3.723 3.723 1.713
Pt 0.977 4.700 1.713
Pt 2.747 0.977 1.713
Pt 4.700 6.470 1.713
Pt 6.470 2.747 1.713
```

Computed properties:
The space group is No. 127. The energy above the most stable polymorph in this dataset comes out at 0 meV per atom. The value obtained for the formation energy is -0.83 eV per atom. The uncorrected energy is -8.1604 eV per atom. Its size of the total moment is 0.00 μB per formula unit. As for the crystal system: tetragonal.


(4)
# HfAs3Pt

HfAs3Pt after structural relaxation (GGA-PBE, Alexandria).

Structure (extended XYZ):
```
5
Lattice="5.052 0.000 0.000 0.000 5.052 0.000 0.000 0.000 5.052" Properties=species:S:1:pos:R:3 pbc="T T T"
Hf 0.000 0.000 0.000
As 0.000 0.000 2.526
As 0.000 2.526 0.000
As 2.526 0.000 0.000
Pt 2.526 2.526 2.526
```

Computed properties:
The space group is No. 221. The energy above the most stable polymorph in this dataset comes out at 155 meV per atom. The value obtained for the formation energy is 0.68 eV per atom. The uncorrected energy is -5.3104 eV per atom. Its size of the total moment is 0.00 μB per formula unit. As for the crystal system: cubic.


(5)
# Hf3AsPt

Hf3AsPt after structural relaxation (GGA-PBE, Alexandria).

Structure (extended XYZ):
```
5
Lattice="4.842 0.000 0.000 0.000 4.842 0.000 0.000 0.000 4.842" Properties=species:S:1:pos:R:3 pbc="T T T"
Hf 0.000 0.000 2.421
Hf 0.000 2.421 0.000
Hf 2.421 0.000 0.000
As 0.000 0.000 0.000
Pt 2.421 2.421 2.421
```

Computed properties:
The space group is No. 221. The energy above the most stable polymorph in this dataset comes out at 0 meV per atom. The value obtained for the formation energy is 0.11 eV per atom. The uncorrected energy is -8.0051 eV per atom. Its size of the total moment is 0.00 μB per formula unit. As for the crystal system: cubic.


(6)
# Hf2AsPt

Hf2AsPt after structural relaxation (GGA-PBE, Alexandria).

Structure (extended XYZ):
```
4
Lattice="1.532 0.884 9.701 -1.532 0.884 9.701 0.000 -1.769 9.701" Properties=species:S:1:pos:R:3 pbc="T T T"
Hf 0.000 0.000 2.596
Hf 0.000 0.000 26.506
As 0.000 0.000 14.551
Pt 0.000 0.000 0.000
```

Computed properties:
The space group is No. 166. The value obtained for the formation energy is -0.06 eV per atom. The uncorrected energy is -7.7112 eV per atom. Its size of the total moment is 0.00 μB per formula unit. As for the crystal system: trigonal.


(7)
# HfAsPt

HfAsPt after structural relaxation (GGA-PBE, Alexandria).

Structure (extended XYZ):
```
6
Lattice="3.792 0.000 0.000 0.000 3.792 0.000 0.000 0.000 7.893" Properties=species:S:1:pos:R:3 pbc="T T T"
Hf 0.948 0.948 1.850
Hf 2.844 2.844 6.043
As 0.948 0.948 6.841
As 2.844 2.844 1.053
Pt 0.948 2.844 3.947
Pt 2.844 0.948 3.947
```

Computed properties:
The space group is No. 129. The value obtained for the formation energy is -0.81 eV per atom. The uncorrected energy is -7.6920 eV per atom. Its size of the total moment is 0.00 μB per formula unit. As for the crystal system: tetragonal.


(8)
# Hf2AsPt

Hf2AsPt after structural relaxation (GGA-PBE, Alexandria).

Structure (extended XYZ):
```
8
Lattice="-3.629 3.629 3.056 3.629 -3.629 3.056 3.629 3.629 -3.056" Properties=species:S:1:pos:R:3 pbc="T T T"
Hf 5.444 1.786 -0.764
Hf 1.786 1.815 0.764
Hf -1.815 1.843 2.292
Hf 1.843 1.815 3.820
As 3.629 0.000 1.528
As 0.000 0.000 3.056
Pt 0.000 0.000 0.000
Pt 0.000 3.629 1.528
```

Computed properties:
The space group is No. 122. The value obtained for the formation energy is -0.59 eV per atom. The uncorrected energy is -8.2420 eV per atom. Its size of the total moment is 0.00 μB per formula unit. As for the crystal system: tetragonal.


(9)
# Hf2As2Pt

Hf2As2Pt after structural relaxation (GGA-PBE, Alexandria).

Structure (extended XYZ):
```
10
Lattice="7.149 0.000 0.000 0.000 7.149 0.000 0.000 0.000 3.561" Properties=species:S:1:pos:R:3 pbc="T T T"
Hf 1.114 2.460 0.000
Hf 2.460 6.034 0.000
Hf 4.689 1.114 0.000
Hf 6.034 4.689 0.000
As 1.069 4.643 1.781
As 2.506 1.069 1.781
As 4.643 6.080 1.781
As 6.080 2.506 1.781
Pt 0.000 0.000 1.781
Pt 3.574 3.574 1.781
```

Computed properties:
The space group is No. 127. The value obtained for the formation energy is -0.70 eV per atom. The uncorrected energy is -7.7491 eV per atom. Its size of the total moment is 0.00 μB per formula unit. As for the crystal system: tetragonal.


(10)
# Hf2AsPt2

Hf2AsPt2 after structural relaxation (GGA-PBE, Alexandria).

Structure (extended XYZ):
```
10
Lattice="7.546 0.000 0.000 0.000 7.546 0.000 0.000 0.000 3.395" Properties=species:S:1:pos:R:3 pbc="T T T"
Hf 1.260 2.513 0.000
Hf 2.513 6.287 0.000
Hf 5.033 1.260 0.000
Hf 6.287 5.033 0.000
As 0.000 0.000 0.000
As 3.773 3.773 0.000
Pt 0.980 4.753 1.697
Pt 2.793 0.980 1.697
Pt 4.753 6.566 1.697
Pt 6.566 2.793 1.697
```

Computed properties:
The space group is No. 127. The energy above the most stable polymorph in this dataset comes out at 32 meV per atom. The value obtained for the formation energy is -0.80 eV per atom. The uncorrected energy is -8.1283 eV per atom. Its size of the total moment is 0.00 μB per formula unit. As for the crystal system: tetragonal.


(11)
# HfAs3Pt

HfAs3Pt after structural relaxation (GGA-PBE, Alexandria).

Structure (extended XYZ):
```
5
Lattice="4.854 0.000 0.000 0.000 4.854 0.000 0.000 0.000 4.854" Properties=species:S:1:pos:R:3 pbc="T T T"
Hf 0.000 0.000 0.000
As 0.000 2.427 2.427
As 2.427 0.000 2.427
As 2.427 2.427 0.000
Pt 2.427 2.427 2.427
```

Computed properties:
The space group is No. 221. The energy above the most stable polymorph in this dataset comes out at 0 meV per atom. The value obtained for the formation energy is 0.52 eV per atom. The uncorrected energy is -5.4649 eV per atom. Its size of the total moment is 0.00 μB per formula unit. As for the crystal system: cubic.


(12)
# HfScAsPt2

HfScAsPt2 after structural relaxation (GGA-PBE, Alexandria).

Structure (extended XYZ):
```
5
Lattice="4.750 0.000 0.000 0.000 4.750 0.000 0.000 0.000 4.852" Properties=species:S:1:pos:R:3 pbc="T T T"
Hf 0.000 0.000 0.000
Sc 2.375 2.375 2.426
As 2.375 2.375 0.000
Pt 0.000 2.375 2.426
Pt 2.375 0.000 2.426
```

Computed properties:
The space group is No. 123. The value obtained for the formation energy is 0.24 eV per atom. The uncorrected energy is -6.3658 eV per atom. Its size of the total moment is 0.00 μB per formula unit. As for the crystal system: tetragonal.


(13)
# HfAsPtSe2

HfAsPtSe2 after structural relaxation (GGA-PBE, Alexandria).

Structure (extended XYZ):
```
5
Lattice="5.036 0.000 0.000 0.000 5.036 0.000 0.000 0.000 5.202" Properties=species:S:1:pos:R:3 pbc="T T T"
Hf 0.000 0.000 0.000
As 0.000 0.000 2.601
Pt 2.518 2.518 2.601
Se 0.000 2.518 0.000
Se 2.518 0.000 0.000
```

Computed properties:
The space group is No. 123. The energy above the most stable polymorph in this dataset comes out at 46 meV per atom. The uncorrected energy is -5.1035 eV per atom. For the formation energy without anion corrections, the calculation gives 0.4190 eV per atom. Its size of the total moment is 0.00 μB per formula unit. As for the crystal system: tetragonal.


(14)
# HfAsPtSe2

HfAsPtSe2 after structural relaxation (GGA-PBE, Alexandria).

Structure (extended XYZ):
```
5
Lattice="4.918 0.000 0.000 0.000 4.918 0.000 0.000 0.000 4.806" Properties=species:S:1:pos:R:3 pbc="T T T"
Hf 0.000 0.000 0.000
As 2.459 2.459 0.000
Pt 2.459 2.459 2.403
Se 0.000 2.459 2.403
Se 2.459 0.000 2.403
```

Computed properties:
The space group is No. 123. The energy above the most stable polymorph in this dataset comes out at 0 meV per atom. The uncorrected energy is -5.1494 eV per atom. For the formation energy without anion corrections, the calculation gives 0.3732 eV per atom. Its size of the total moment is 0.00 μB per formula unit. As for the crystal system: tetragonal.


(15)
# HfTaAsPt2

HfTaAsPt2 after structural relaxation (GGA-PBE, Alexandria).

Structure (extended XYZ):
```
5
Lattice="4.850 0.000 0.000 0.000 4.850 0.000 0.000 0.000 5.102" Properties=species:S:1:pos:R:3 pbc="T T T"
Hf 0.000 0.000 0.000
Ta 0.000 0.000 2.551
As 2.425 2.425 2.551
Pt 0.000 2.425 0.000
Pt 2.425 0.000 0.000
```

Computed properties:
The space group is No. 123. The value obtained for the formation energy is 1.28 eV per atom. The uncorrected energy is -6.4286 eV per atom. Its size of the total moment is 0.00 μB per formula unit. As for the crystal system: tetragonal.


(16)
# HfAs2PtW

HfAs2PtW after structural relaxation (GGA-PBE, Alexandria).

Structure (extended XYZ):
```
5
Lattice="4.802 0.000 0.000 0.000 4.802 0.000 0.000 0.000 4.914" Properties=species:S:1:pos:R:3 pbc="T T T"
Hf 0.000 0.000 0.000
As 0.000 2.401 2.457
As 2.401 0.000 2.457
Pt 2.401 2.401 2.457
W 2.401 2.401 0.000
```

Computed properties:
The space group is No. 123. The value obtained for the formation energy is 1.12 eV per atom. The uncorrected energy is -6.5247 eV per atom. Its size of the total moment is 1.10 μB per formula unit. As for the crystal system: tetragonal.


(17)
# Pu5Hf3As8

Pu5Hf3As8 after structural relaxation (GGA-PBE, Alexandria).

Structure (extended XYZ):
```
16
Lattice="4.007 2.314 6.589 -4.007 2.314 6.589 0.000 -4.627 6.589" Properties=species:S:1:pos:R:3 pbc="T T T"
Pu 0.000 0.000 0.000
Pu -2.004 -1.157 6.589
Pu -2.004 1.157 13.179
Pu 0.000 2.314 6.589
Pu 0.000 0.000 9.884
Hf -4.007 0.000 9.884
Hf -2.004 1.157 3.295
Hf 2.004 1.157 3.295
As -2.059 -1.189 11.438
As 0.000 0.000 4.819
As 0.000 -2.378 8.330
As -2.059 1.189 8.330
As 2.059 -1.189 11.438
As 0.000 2.378 11.438
As 0.000 0.000 14.949
As 2.059 1.189 8.330
```

Computed properties:
The space group is No. 166. The value obtained for the formation energy is -1.05 eV per atom. The uncorrected energy is -9.7214 eV per atom. Its size of the total moment is 26.28 μB per formula unit. As for the crystal system: trigonal.


(18)
# PuHf3As4

PuHf3As4 after structural relaxation (GGA-PBE, Alexandria).

Structure (extended XYZ):
```
8
Lattice="3.920 -5.501 0.000 3.920 5.501 0.000 0.000 0.000 3.887" Properties=species:S:1:pos:R:3 pbc="T T T"
Pu 0.000 0.000 0.000
Hf 1.960 2.751 1.943
Hf 1.960 -2.751 1.943
Hf 3.920 0.000 0.000
As 3.920 2.693 0.000
As 2.046 0.000 1.943
As 5.793 0.000 1.943
As 3.920 -2.693 0.000
```

Computed properties:
The space group is No. 65. The value obtained for the formation energy is -1.00 eV per atom. The uncorrected energy is -8.8515 eV per atom. Its size of the total moment is 5.34 μB per formula unit. As for the crystal system: orthorhombic.


(19)
# Pu3HfAs4

Pu3HfAs4 after structural relaxation (GGA-PBE, Alexandria).

Structure (extended XYZ):
```
16
Lattice="7.007 0.000 0.000 0.000 8.117 0.000 -2.362 0.000 6.623" Properties=species:S:1:pos:R:3 pbc="T T T"
Pu -0.591 1.006 1.656
Pu -1.772 3.025 4.967
Pu -0.591 5.092 1.656
Pu -1.772 7.110 4.967
Pu 2.913 3.029 1.656
Pu 1.732 5.087 4.967
Hf 1.732 1.005 4.967
Hf 2.913 7.111 1.656
As 0.606 2.982 3.362
As 1.787 5.135 0.050
As -0.520 0.948 6.621
As 0.662 7.168 3.309
As 3.984 0.948 3.314
As 5.165 7.168 0.002
As 2.858 2.982 6.573
As 4.039 5.135 3.261
```

Computed properties:
The space group is No. 13. The value obtained for the formation energy is -1.02 eV per atom. The uncorrected energy is -9.9651 eV per atom. Its size of the total moment is 5.25 μB per formula unit. As for the crystal system: monoclinic.


(20)
# Pu2HfAs3

Pu2HfAs3 after structural relaxation (GGA-PBE, Alexandria).

Structure (extended XYZ):
```
24
Lattice="0.000 5.690 12.055 4.032 0.000 12.055 4.032 5.690 0.000" Properties=species:S:1:pos:R:3 pbc="T T T"
Pu 1.008 1.423 1.046
Pu 3.024 4.268 2.961
Pu 1.008 1.423 4.981
Pu 5.041 7.113 8.988
Pu 3.024 4.268 15.121
Pu 7.057 9.958 19.128
Pu 5.041 7.113 21.149
Pu 7.057 9.958 23.063
Hf 3.024 4.268 7.018
Hf 3.024 4.268 11.064
Hf 5.041 7.113 13.046
Hf 5.041 7.113 17.091
As 3.090 1.499 6.975
As 4.912 4.268 9.041
As 2.959 1.499 11.107
As 4.975 4.344 13.002
As 6.929 7.113 15.068
As 5.106 4.344 17.135
As 2.959 7.036 6.975
As 1.136 4.268 9.041
As 3.090 7.036 11.107
As 5.106 9.881 13.002
As 3.152 7.113 15.068
As 4.975 9.881 17.135
```

Computed properties:
The space group is No. 70. The value obtained for the formation energy is -1.03 eV per atom. The uncorrected energy is -9.7950 eV per atom. Its size of the total moment is 0.02 μB per formula unit. As for the crystal system: orthorhombic.